No. 1
{"formula": "Co2TeRh", "functional": "PBE", "state": "optimized geometry", "energy_ev_per_atom": -5.922, "m_tot_mub_per_cell": 3.521, "dos_at_fermi_per_ev_fu": 8.2, "spacegroup": "F-43m (216)", "vol_a3_per_cell": 58, "cell": [[0.000, 3.081, 3.081], [3.081, 0.000, 3.081], [3.081, 3.081, 0.000]], "species": ["Co", "Co", "Te", "Rh"], "fractional_positions": [[0.000, 0.000, 0.000], [0.250, 0.250, 0.250], [0.750, 0.750, 0.750], [0.500, 0.500, 0.500]]}

=====

No. 2
{"formula": "TaMo4Br", "functional": "PBE", "state": "optimized geometry", "energy_ev_per_atom": -8.766, "m_tot_mub_per_cell": 0.000, "dos_at_fermi_per_ev_fu": 3.6, "spacegroup": "F-43m (216)", "vol_a3_per_cell": 106, "cell": [[0.000, 3.751, 3.751], [3.751, 0.000, 3.751], [3.751, 3.751, 0.000]], "species": ["Ta", "Mo", "Mo", "Mo", "Mo", "Br"], "fractional_positions": [[0.000, 0.000, 0.000], [0.375, 0.375, 0.375], [0.375, 0.375, 0.874], [0.375, 0.874, 0.375], [0.874, 0.375, 0.375], [0.750, 0.750, 0.750]]}

=====

No. 3
{"formula": "KBePd3", "functional": "PBE", "state": "optimized geometry", "formation_energy_kj_per_mol_fu": -25, "energy_ev_per_atom": -4.131, "m_tot_mub_per_cell": 0.000, "dos_at_fermi_per_ev_fu": 1.7, "spacegroup": "Pm-3m (221)", "vol_a3_per_cell": 89, "cell": [[4.457, 0.000, 0.000], [0.000, 4.457, 0.000], [0.000, 0.000, 4.457]], "species": ["K", "Be", "Pd", "Pd", "Pd"], "fractional_positions": [[0.000, 0.000, 0.000], [0.500, 0.500, 0.500], [0.000, 0.500, 0.500], [0.500, 0.000, 0.500], [0.500, 0.500, 0.000]]}